1.
A geometry-optimized Y2In2Ag structure. Source: Alexandria via LeMat-Bulk, functional PBE-GGA.

Calculated values
Energy above the most stable polymorph in this dataset, meV per atom: 36
Energy, eV/atom: -4.645
Symmetry: No. 127

Cell: 7.422 7.422 4.700 Å, 90.00 90.00 90.00°
Atoms (fractional coordinates):
1 In 0.139 0.361 0.000
2 Y 0.834 0.334 0.500
3 Y 0.334 0.166 0.500
4 Ag 0.000 0.000 0.000
5 Ag 0.500 0.500 0.000
6 In 0.639 0.139 0.000
7 In 0.861 0.639 0.000
8 In 0.361 0.861 0.000
9 Y 0.166 0.666 0.500
10 Y 0.666 0.834 0.500

---

2.
A geometry-optimized U4Ge6Rh7 structure. Source: Alexandria via LeMat-Bulk, functional PBE-GGA.

Calculated values
Energy, eV/atom: -7.887
Symmetry: No. 229

Cell: 7.301 7.301 7.301 Å, 109.47 109.47 109.47°
Each line ends with the local moment (μB).
Atoms (fractional coordinates):
1 U 0.000 0.000 0.500  1.99
2 Ge 0.314 0.000 0.314  -0.01
3 Rh 0.250 0.500 0.750  -0.05
4 Rh 0.750 0.500 0.250  -0.05
5 Rh 0.250 0.750 0.500  -0.05
6 Rh 0.750 0.250 0.500  -0.05
7 Ge 0.686 0.686 0.000  -0.01
8 Rh 0.000 0.000 0.000  0.08
9 Ge 0.000 0.686 0.686  -0.01
10 Rh 0.500 0.250 0.750  -0.05
11 U 0.500 0.500 0.500  1.99
12 Ge 0.686 0.000 0.686  -0.01
13 Ge 0.314 0.314 0.000  -0.01
14 U 0.000 0.500 0.000  1.99
15 U 0.500 0.000 0.000  1.99
16 Rh 0.500 0.750 0.250  -0.05
17 Ge 0.000 0.314 0.314  -0.01

---

The highest energy belongs to which entry? Y2In2Ag

---

What is the energy in the first record? -4.645 eV/atom

---

Please write out number 1 again, unchanged.
A geometry-optimized Y2In2Ag structure. Source: Alexandria via LeMat-Bulk, functional PBE-GGA.

Calculated values
Energy above the most stable polymorph in this dataset, meV per atom: 36
Energy, eV/atom: -4.645
Symmetry: No. 127

Cell: 7.422 7.422 4.700 Å, 90.00 90.00 90.00°
Atoms (fractional coordinates):
1 In 0.139 0.361 0.000
2 Y 0.834 0.334 0.500
3 Y 0.334 0.166 0.500
4 Ag 0.000 0.000 0.000
5 Ag 0.500 0.500 0.000
6 In 0.639 0.139 0.000
7 In 0.861 0.639 0.000
8 In 0.361 0.861 0.000
9 Y 0.166 0.666 0.500
10 Y 0.666 0.834 0.500